1.
DFT (PBE) results for a relaxed structure of Sn2GeRh.

Summary:
As for the calculated total energy: -4.821 eV per atom. As for the density of states at the Fermi level: 0.6983 states/eV per atom. As for the space-group type: I-42d. The value obtained for the calculated density is 6.051 Mg/m³. The volume comes out at 226.7 Å³ per cell. For the formation energy, the calculation gives 0.69 eV/f.u.

Cell lengths 7.417, 7.417, 7.417 Å; angles 131.11, 131.11, 71.64 degrees
Positions (direct):
Sn: 0.106 0.625 0.981
Sn: 0.375 0.356 0.481
Sn: 0.644 0.125 0.019
Sn: 0.875 0.894 0.519
Ge: 0.250 0.750 0.500
Ge: 0.500 0.500 0.000
Rh: 0.000 0.000 0.000
Rh: 0.750 0.250 0.500


2.
DFT (PBE) results for a relaxed structure of Sn3GeRh3.

Summary:
As for the calculated total energy: -5.830 eV per atom. As for the density of states at the Fermi level: 0.4549 states/eV per atom. As for the space-group type: C2/m. The value obtained for the calculated density is 9.453 Mg/m³. The volume comes out at 259.1 Å³ per cell. For the formation energy, the calculation gives -2.13 eV/f.u.

Cell lengths 5.829, 5.829, 8.410 Å; angles 90.47, 90.47, 114.92 degrees
Positions (direct):
Sn: 0.165 0.835 0.000
Sn: 0.214 0.786 0.500
Sn: 0.453 0.453 0.835
Sn: 0.547 0.547 0.165
Sn: 0.786 0.214 0.500
Sn: 0.835 0.165 0.000
Ge: 0.300 0.300 0.442
Ge: 0.700 0.700 0.558
Rh: 0.055 0.055 0.724
Rh: 0.066 0.489 0.247
Rh: 0.489 0.066 0.247
Rh: 0.511 0.934 0.753
Rh: 0.934 0.511 0.753
Rh: 0.945 0.945 0.276


3.
DFT (PBE) results for a relaxed structure of Sr2SnGe3Rh4.

Summary:
As for the calculated total energy: -5.757 eV per atom. As for the density of states at the Fermi level: 0.3592 states/eV per atom. As for the space-group type: P-4m2. The value obtained for the calculated density is 7.685 Mg/m³. The volume comes out at 199.6 Å³ per cell. For the formation energy, the calculation gives -6.95 eV/f.u.

Cell lengths 4.375, 4.375, 10.427 Å; angles 90.00, 90.00, 90.00 degrees
Positions (direct):
Sr: 0.000 0.500 0.243
Sr: 0.500 0.000 0.757
Sn: 0.000 0.000 0.500
Ge: 0.000 0.500 0.880
Ge: 0.500 0.000 0.120
Ge: 0.500 0.500 0.500
Rh: 0.000 0.000 0.000
Rh: 0.000 0.500 0.639
Rh: 0.500 0.000 0.361
Rh: 0.500 0.500 0.000


4.
DFT (PBE) results for a relaxed structure of Sr2SnGeRh6.

Summary:
As for the calculated total energy: -5.567 eV per atom. As for the density of states at the Fermi level: 1.0743 states/eV per atom. As for the space-group type: Fm-3m. The value obtained for the calculated density is 7.391 Mg/m³. The volume comes out at 221.1 Å³ per cell. For the formation energy, the calculation gives 0.43 eV/f.u.

Cell lengths 6.787, 6.787, 6.787 Å; angles 60.00, 60.00, 60.00 degrees
Positions (direct):
Sr: 0.250 0.250 0.250
Sr: 0.750 0.750 0.750
Sn: 0.000 0.000 0.000
Ge: 0.500 0.500 0.500
Rh: 0.260 0.260 0.740
Rh: 0.260 0.740 0.260
Rh: 0.260 0.740 0.740
Rh: 0.740 0.260 0.260
Rh: 0.740 0.260 0.740
Rh: 0.740 0.740 0.260


5.
DFT (PBE) results for a relaxed structure of TbSnGeRh2.

Summary:
As for the calculated total energy: -6.197 eV per atom. As for the density of states at the Fermi level: 0.6713 states/eV per atom. As for the space-group type: Cmcm. The value obtained for the calculated density is 8.974 Mg/m³. The volume comes out at 205.8 Å³ per cell. For the formation energy, the calculation gives -3.03 eV/f.u.

Cell lengths 6.923, 6.923, 7.092 Å; angles 90.00, 90.00, 142.74 degrees
Positions (direct):
Tb: 0.124 0.876 0.750
Tb: 0.876 0.124 0.250
Sn: 0.179 0.821 0.250
Sn: 0.821 0.179 0.750
Ge: 0.500 0.500 0.000
Ge: 0.500 0.500 0.500
Rh: 0.322 0.678 0.533
Rh: 0.322 0.678 0.967
Rh: 0.678 0.322 0.033
Rh: 0.678 0.322 0.467


6.
DFT (PBE) results for a relaxed structure of Tb2SnGe2Rh5.

Summary:
As for the calculated total energy: -6.743 eV per atom. As for the density of states at the Fermi level: 0.2949 states/eV per atom. As for the space-group type: P4/mbm. The value obtained for the calculated density is 10.353 Mg/m³. The volume comes out at 351.7 Å³ per cell. For the formation energy, the calculation gives -8.17 eV/f.u.

Cell lengths 9.807, 9.807, 3.657 Å; angles 90.00, 90.00, 90.00 degrees
Positions (direct):
Tb: 0.175 0.325 0.000
Tb: 0.325 0.825 0.000
Tb: 0.675 0.175 0.000
Tb: 0.825 0.675 0.000
Sn: 0.000 0.000 0.000
Sn: 0.500 0.500 0.000
Ge: 0.122 0.622 0.000
Ge: 0.378 0.122 0.000
Ge: 0.622 0.878 0.000
Ge: 0.878 0.378 0.000
Rh: 0.000 0.500 0.500
Rh: 0.069 0.788 0.500
Rh: 0.212 0.069 0.500
Rh: 0.288 0.569 0.500
Rh: 0.431 0.288 0.500
Rh: 0.500 0.000 0.500
Rh: 0.569 0.712 0.500
Rh: 0.712 0.431 0.500
Rh: 0.788 0.931 0.500
Rh: 0.931 0.212 0.500


7.
DFT (PBE) results for a relaxed structure of Th2SnGe3Rh4.

Summary:
As for the calculated total energy: -7.052 eV per atom. As for the density of states at the Fermi level: 0.4844 states/eV per atom. As for the space-group type: P-4m2. The value obtained for the calculated density is 10.471 Mg/m³. The volume comes out at 192.3 Å³ per cell. For the formation energy, the calculation gives -8.42 eV/f.u.

Cell lengths 4.255, 4.255, 10.618 Å; angles 90.00, 90.00, 90.00 degrees
Positions (direct):
Th: 0.000 0.500 0.242
Th: 0.500 0.000 0.758
Sn: 0.000 0.000 0.500
Ge: 0.000 0.500 0.874
Ge: 0.500 0.000 0.126
Ge: 0.500 0.500 0.500
Rh: 0.000 0.000 0.000
Rh: 0.000 0.500 0.645
Rh: 0.500 0.000 0.355
Rh: 0.500 0.500 0.000


8.
DFT (PBE) results for a relaxed structure of Th4SnGe3Rh12.

Summary:
As for the calculated total energy: -7.070 eV per atom. As for the density of states at the Fermi level: 1.1770 states/eV per atom. As for the space-group type: Im-3m. The value obtained for the calculated density is 10.247 Mg/m³. The volume comes out at 405.1 Å³ per cell. For the formation energy, the calculation gives -5.65 eV/f.u.

Cell lengths 8.073, 8.073, 8.073 Å; angles 109.47, 109.47, 109.47 degrees
Positions (direct):
Th: 0.000 0.000 0.500
Th: 0.000 0.500 0.000
Th: 0.500 0.000 0.000
Th: 0.500 0.500 0.500
Sn: 0.000 0.000 0.000
Ge: 0.000 0.500 0.500
Ge: 0.500 0.000 0.500
Ge: 0.500 0.500 0.000
Rh: 0.000 0.260 0.260
Rh: 0.000 0.740 0.740
Rh: 0.250 0.500 0.750
Rh: 0.250 0.750 0.500
Rh: 0.260 0.000 0.260
Rh: 0.260 0.260 0.000
Rh: 0.500 0.250 0.750
Rh: 0.500 0.750 0.250
Rh: 0.740 0.000 0.740
Rh: 0.740 0.740 0.000
Rh: 0.750 0.250 0.500
Rh: 0.750 0.500 0.250


9.
DFT (PBE) results for a relaxed structure of Tl2SnGeRh.

Summary:
As for the calculated total energy: -3.974 eV per atom. As for the density of states at the Fermi level: 0.8586 states/eV per atom. As for the space-group type: P4/mmm. The value obtained for the calculated density is 8.689 Mg/m³. The volume comes out at 134.4 Å³ per cell. For the formation energy, the calculation gives 0.84 eV/f.u.

Cell lengths 5.343, 5.343, 4.706 Å; angles 90.00, 90.00, 90.00 degrees
Positions (direct):
Tl: 0.000 0.500 0.000
Tl: 0.500 0.000 0.000
Sn: 0.000 0.000 0.500
Ge: 0.500 0.500 0.500
Rh: 0.500 0.500 0.000


10.
DFT (PBE) results for a relaxed structure of YSnGeRh2.

Summary:
As for the calculated total energy: -6.562 eV per atom. As for the density of states at the Fermi level: 0.6545 states/eV per atom. As for the space-group type: Cmcm. The value obtained for the calculated density is 7.893 Mg/m³. The volume comes out at 204.5 Å³ per cell. For the formation energy, the calculation gives -3.02 eV/f.u.

Cell lengths 6.982, 6.982, 6.958 Å; angles 90.00, 90.00, 142.92 degrees
Positions (direct):
Y: 0.126 0.874 0.750
Y: 0.874 0.126 0.250
Sn: 0.175 0.825 0.250
Sn: 0.825 0.175 0.750
Ge: 0.500 0.500 0.000
Ge: 0.500 0.500 0.500
Rh: 0.322 0.678 0.529
Rh: 0.322 0.678 0.971
Rh: 0.678 0.322 0.029
Rh: 0.678 0.322 0.471